First-principles (PBE+U) data for a relaxed structure of Cs2TmFe2O6, as listed in Alexandria via LeMat-Bulk.

Summary:
The value obtained for the density of states at the Fermi level is 6.243 states/eV/f.u. The crystal system is trigonal. The calculation puts the electronic total energy at -0.439 Ry per atom.

Lattice parameters (Å, degrees): 6.191 6.191 7.002 63.77 63.77 60.00
Site moments in Bohr magnetons follow the coordinates.
Element x y z (fractional)
O (0.738, 0.243, 0.777)  -0.04
O (0.757, 0.262, 0.223)  -0.04
O (0.243, 0.738, 0.777)  -0.04
O (0.757, 0.757, 0.223)  -0.04
O (0.243, 0.243, 0.777)  -0.04
O (0.262, 0.757, 0.223)  -0.04
Tm (0.000, 0.000, 0.000)  0.11
Fe (0.579, 0.579, 0.262)  3.59
Fe (0.421, 0.421, 0.738)  3.59
Cs (0.221, 0.221, 0.338)  -0.01
Cs (0.779, 0.779, 0.662)  -0.01